(1)
# AgAs2Rh, optimized geometry, DFT PBE-GGA
data_AgAs2Rh
_space_group_name_H-M_alt 'C 1 m 1'
_space_group_IT_number 8
_cell_length_a 8.321
_cell_length_b 3.090
_cell_length_c 6.401
_cell_angle_alpha 90.00
_cell_angle_beta 112.00
_cell_angle_gamma 90.00
loop_
_space_group_symop_operation_xyz
'x,y,z'
'x,-y,z'
'x+1/2,y+1/2,z'
'x+1/2,-y+1/2,z'
loop_
_atom_site_label
_atom_site_type_symbol
_atom_site_fract_x
_atom_site_fract_y
_atom_site_fract_z
Ag1 Ag 0.000 0.000 0.000
As1 As 0.210 0.000 0.765
As2 As 0.325 0.000 0.334
Rh1 Rh 0.137 0.500 0.436
# excess energy over the best structure of this formula in the dataset = 0 meV/atom
# D(E_F) = 2.07 states/eV/f.u.
# ΔH_f (0 K) = -0.0574 eV/atom
# E_tot = -39.5 eV per cell

(2)
# Y6Ga2O, optimized geometry, DFT PBE-GGA
data_Y6Ga2O
_space_group_name_H-M_alt 'P 1 21/c 1'
_space_group_IT_number 14
_cell_length_a 6.336
_cell_length_b 7.622
_cell_length_c 11.206
_cell_angle_alpha 90.00
_cell_angle_beta 123.29
_cell_angle_gamma 90.00
loop_
_space_group_symop_operation_xyz
'x,y,z'
'-x,-y,-z'
'-x,y+1/2,-z+1/2'
'x,-y+1/2,z+1/2'
loop_
_atom_site_label
_atom_site_type_symbol
_atom_site_fract_x
_atom_site_fract_y
_atom_site_fract_z
Y1 Y 0.121 0.165 0.445
Y2 Y 0.292 0.701 0.444
Y3 Y 0.365 0.032 0.248
Ga1 Ga 0.197 0.112 0.755
O1 O 0.500 0.000 0.500
# D(E_F) = 10.12 states/eV/f.u.
# E_tot = -115.9 eV per cell
# energy relative to the elements, uncorrected = -0.905 eV/atom

(3)
# ThU3Se6, optimized geometry, DFT PBE-GGA
data_ThU3Se6
_space_group_name_H-M_alt 'P 1 21/m 1'
_space_group_IT_number 11
_cell_length_a 11.528
_cell_length_b 4.031
_cell_length_c 12.084
_cell_angle_alpha 90.00
_cell_angle_beta 108.00
_cell_angle_gamma 90.00
loop_
_space_group_symop_operation_xyz
'x,y,z'
'-x,-y,-z'
'-x,y+1/2,-z'
'x,-y+1/2,z'
loop_
_atom_site_label
_atom_site_type_symbol
_atom_site_fract_x
_atom_site_fract_y
_atom_site_fract_z
Th1 Th 0.047 0.250 0.195
U1 U 0.143 0.250 0.572
U2 U 0.325 0.750 0.998
U3 U 0.429 0.250 0.340
Se1 Se 0.092 0.750 0.394
Se2 Se 0.118 0.250 0.966
Se3 Se 0.191 0.750 0.749
Se4 Se 0.256 0.750 0.218
Se5 Se 0.391 0.250 0.565
Se6 Se 0.493 0.250 0.127
# D(E_F) = 17.96 states/eV/f.u.
# E_tot = -148.9 eV per cell
# energy relative to the elements, uncorrected = -1.224 eV/atom

(4)
# NpCuSnPd, optimized geometry, DFT PBE-GGA
data_NpCuSnPd
_space_group_name_H-M_alt 'F -4 3 m'
_space_group_IT_number 216
_space_group_name_Hall 'F -4 2 3'
_cell_length_a 6.781
_cell_length_b 6.781
_cell_length_c 6.781
_cell_angle_alpha 90.00
_cell_angle_beta 90.00
_cell_angle_gamma 90.00
loop_
_atom_site_label
_atom_site_type_symbol
_atom_site_fract_x
_atom_site_fract_y
_atom_site_fract_z
Np1 Np 0.000 0.000 0.000
Cu1 Cu 0.250 0.250 0.250
Sn1 Sn 0.000 0.000 0.500
Pd1 Pd 0.250 0.250 0.750
# D(E_F) = 8.02 states/eV/f.u.
# ΔH_f (0 K) = -0.1618 eV/atom
# E_tot = -107.5 eV per cell

(5)
# Ca5MnH2N4, optimized geometry, DFT PBE-GGA
data_Ca5MnH2N4
_space_group_name_H-M_alt 'A m m 2'
_space_group_IT_number 38
_cell_length_a 6.892
_cell_length_b 9.311
_cell_length_c 5.758
_cell_angle_alpha 90.00
_cell_angle_beta 90.00
_cell_angle_gamma 90.00
loop_
_space_group_symop_operation_xyz
'x,y,z'
'-x,-y,z'
'-x,y,z'
'x,-y,z'
'x,y+1/2,z+1/2'
'-x,-y+1/2,z+1/2'
'-x,y+1/2,z+1/2'
'x,-y+1/2,z+1/2'
loop_
_atom_site_label
_atom_site_type_symbol
_atom_site_fract_x
_atom_site_fract_y
_atom_site_fract_z
Ca1 Ca 0.000 0.000 0.000
Ca2 Ca 0.275 0.180 0.493
Mn1 Mn 0.500 0.000 0.004
H1 H 0.000 0.218 0.777
N1 N 0.289 0.000 0.195
N2 N 0.500 0.157 0.813
# D(E_F) = 0.16 states/eV/f.u.
# E_tot = -133.6 eV per cell

(6)
# Sc2Al2CdNi5, optimized geometry, DFT PBE-GGA
data_Sc2Al2CdNi5
_space_group_name_H-M_alt 'P 4/m b m'
_space_group_IT_number 127
_space_group_name_Hall '-P 4 2ab'
_cell_length_a 9.193
_cell_length_b 9.193
_cell_length_c 3.526
_cell_angle_alpha 90.00
_cell_angle_beta 90.00
_cell_angle_gamma 90.00
loop_
_atom_site_label
_atom_site_type_symbol
_atom_site_fract_x
_atom_site_fract_y
_atom_site_fract_z
Sc1 Sc 0.179 0.321 0.000
Al1 Al 0.117 0.617 0.000
Cd1 Cd 0.000 0.000 0.000
Ni1 Ni 0.000 0.500 0.500
Ni2 Ni 0.066 0.784 0.500
# D(E_F) = 7.42 states/eV/f.u.
# ΔH_f (0 K) = -0.3475 eV/atom
# E_tot = -106.9 eV per cell

(7)
# Hg2C, optimized geometry, DFT PBE-GGA
data_Hg2C
_space_group_name_H-M_alt 'P 4/m m m'
_space_group_IT_number 123
_space_group_name_Hall '-P 4 2'
_cell_length_a 3.756
_cell_length_b 3.756
_cell_length_c 4.190
_cell_angle_alpha 90.00
_cell_angle_beta 90.00
_cell_angle_gamma 90.00
loop_
_atom_site_label
_atom_site_type_symbol
_atom_site_fract_x
_atom_site_fract_y
_atom_site_fract_z
Hg1 Hg 0.000 0.000 0.000
Hg2 Hg 0.500 0.500 0.500
C1 C 0.000 0.000 0.500
# excess energy over the best structure of this formula in the dataset = 960 meV/atom
# D(E_F) = 0.99 states/eV/f.u.
# ΔH_f (0 K) = 1.4320 eV/atom
# E_tot = -5.5 eV per cell

(8)
# Ca3ReC3, optimized geometry, DFT PBE-GGA
data_Ca3ReC3
_space_group_name_H-M_alt 'C m c m'
_space_group_IT_number 63
_space_group_name_Hall '-C 2c 2'
_cell_length_a 7.902
_cell_length_b 13.611
_cell_length_c 5.197
_cell_angle_alpha 90.00
_cell_angle_beta 90.00
_cell_angle_gamma 90.00
loop_
_atom_site_label
_atom_site_type_symbol
_atom_site_fract_x
_atom_site_fract_y
_atom_site_fract_z
Ca1 Ca 0.000 0.177 0.250
Ca2 Ca 0.233 0.411 0.250
Re1 Re 0.000 0.333 0.750
C1 C 0.000 0.194 0.750
C2 C 0.207 0.402 0.750
# D(E_F) = 1.95 states/eV/f.u.
# ΔH_f (0 K) = 0.1833 eV/atom
# E_tot = -179.4 eV per cell

(9)
# CeErIrOs, optimized geometry, DFT PBE-GGA
data_CeErIrOs
_space_group_name_H-M_alt 'F -4 3 m'
_space_group_IT_number 216
_space_group_name_Hall 'F -4 2 3'
_cell_length_a 6.877
_cell_length_b 6.877
_cell_length_c 6.877
_cell_angle_alpha 90.00
_cell_angle_beta 90.00
_cell_angle_gamma 90.00
loop_
_atom_site_label
_atom_site_type_symbol
_atom_site_fract_x
_atom_site_fract_y
_atom_site_fract_z
Ce1 Ce 0.000 0.000 0.000
Er1 Er 0.000 0.000 0.500
Ir1 Ir 0.250 0.250 0.750
Os1 Os 0.250 0.250 0.250
# D(E_F) = 3.18 states/eV/f.u.
# ΔH_f (0 K) = -0.4431 eV/atom
# E_tot = -129.4 eV per cell

(10)
# KPrTlHg, optimized geometry, DFT PBE-GGA
data_KPrTlHg
_space_group_name_H-M_alt 'F -4 3 m'
_space_group_IT_number 216
_space_group_name_Hall 'F -4 2 3'
_cell_length_a 7.945
_cell_length_b 7.945
_cell_length_c 7.945
_cell_angle_alpha 90.00
_cell_angle_beta 90.00
_cell_angle_gamma 90.00
loop_
_atom_site_label
_atom_site_type_symbol
_atom_site_fract_x
_atom_site_fract_y
_atom_site_fract_z
K1 K 0.000 0.000 0.000
Pr1 Pr 0.000 0.000 0.500
Tl1 Tl 0.250 0.250 0.750
Hg1 Hg 0.250 0.250 0.250
# D(E_F) = 4.37 states/eV/f.u.
# ΔH_f (0 K) = -0.1688 eV/atom
# E_tot = -36.9 eV per cell

(11)
# MgInPdRu, optimized geometry, DFT PBE-GGA
data_MgInPdRu
_space_group_name_H-M_alt 'F -4 3 m'
_space_group_IT_number 216
_space_group_name_Hall 'F -4 2 3'
_cell_length_a 6.403
_cell_length_b 6.403
_cell_length_c 6.403
_cell_angle_alpha 90.00
_cell_angle_beta 90.00
_cell_angle_gamma 90.00
loop_
_atom_site_label
_atom_site_type_symbol
_atom_site_fract_x
_atom_site_fract_y
_atom_site_fract_z
Mg1 Mg 0.000 0.000 0.000
In1 In 0.000 0.000 0.500
Pd1 Pd 0.250 0.250 0.750
Ru1 Ru 0.250 0.250 0.250
# D(E_F) = 1.95 states/eV/f.u.
# ΔH_f (0 K) = -0.3212 eV/atom
# E_tot = -80.3 eV per cell

(12)
# BaHRu2O8, optimized geometry, DFT PBE-GGA
data_BaHRu2O8
_space_group_name_H-M_alt 'C 1 2/m 1'
_space_group_IT_number 12
_cell_length_a 11.214
_cell_length_b 5.021
_cell_length_c 7.026
_cell_angle_alpha 90.00
_cell_angle_beta 115.14
_cell_angle_gamma 90.00
loop_
_space_group_symop_operation_xyz
'x,y,z'
'-x,-y,-z'
'-x,y,-z'
'x,-y,z'
'x+1/2,y+1/2,z'
'-x+1/2,-y+1/2,-z'
'-x+1/2,y+1/2,-z'
'x+1/2,-y+1/2,z'
loop_
_atom_site_label
_atom_site_type_symbol
_atom_site_fract_x
_atom_site_fract_y
_atom_site_fract_z
Ba1 Ba 0.000 0.000 0.000
H1 H 0.000 0.500 0.500
Ru1 Ru 0.188 0.000 0.659
O1 O 0.094 0.270 0.685
O2 O 0.149 0.500 0.139
O3 O 0.177 0.000 0.399
# D(E_F) = 6.59 states/eV/f.u.
# E_tot = -148.8 eV per cell